Entry 1:
The following is a DFT calculation (PBE) of an optimized crystal structure of Sr8Al2Zn.

Total energy = -44.5 eV per cell
Volume = 433.09 Å³/f.u.
Distance to the lowest polymorph of the same formula = 75 meV per atom
ΔH_f (0 K) = -0.002 eV/atom

Unit cell a=5.622 b=9.690 c=15.898 alpha=90.00 beta=90.00 gamma=90.00
Space group Immm (No. 71)
Asymmetric unit:
Sr  0.000  0.000  0.133 x4
Sr  0.000  0.212  0.339 x8
Sr  0.000  0.327  0.000 x4
Al  0.000  0.500  0.195 x4
Zn  0.000  0.500  0.500 x2


Entry 2:
The following is a DFT calculation (PBE) of an optimized crystal structure of Sr3Al7Zn2.

Total energy = -110.3 eV per cell
Volume = 260.98 Å³/f.u.
ΔH_f (0 K) = -0.248 eV/atom

Unit cell a=5.7809 b=5.7809 c=27.0523 alpha=90.00 beta=90.00 gamma=120.00
Space group R-3m (No. 166, hexagonal axes)
Asymmetric unit:
Sr  0.0000  0.0000  0.0000 x3
Sr  0.0000  0.0000  0.1422 x6
Al  0.0000  0.0000  0.5000 x3
Al  0.0063  0.5031  0.9204 x18
Zn  0.0000  0.0000  0.3355 x6


Entry 3:
The following is a DFT calculation (PBE) of an optimized crystal structure of Sr2Al6Zn3.

Total energy = -32.1 eV per cell
Volume = 233.35 Å³/f.u.
ΔH_f (0 K) = -0.224 eV/atom

Unit cell a=7.9538 b=7.9538 c=4.2591 alpha=90.00 beta=90.00 gamma=120.00
Space group P-62m (No. 189)
Asymmetric unit:
Sr  0.3333  0.6667  0.0000 x2
Al  0.0000  0.2935  0.5000 x3
Al  0.0000  0.8086  0.0000 x3
Zn  0.0000  0.6275  0.5000 x3


Entry 4:
The following is a DFT calculation (PBE) of an optimized crystal structure of Sr2Al5Zn12.

Total energy = -120.9 eV per cell
Volume = 335.12 Å³/f.u.
ΔH_f (0 K) = -0.154 eV/atom

Unit cell a=9.2740 b=9.2740 c=13.4977 alpha=90.00 beta=90.00 gamma=120.00
Space group R-3m (No. 166, hexagonal axes)
Asymmetric unit:
Sr  0.0000  0.0000  0.1637 x6
Al  0.0000  0.0000  0.4022 x6
Al  0.0000  0.5000  0.0000 x9
Zn  0.0000  0.2952  0.5000 x18
Zn  0.0061  0.5030  0.6545 x18


Entry 5:
The following is a DFT calculation (PBE) of an optimized crystal structure of Sr2AlZn2.

Total energy = -19.5 eV per cell
Volume = 147.68 Å³/f.u.
ΔH_f (0 K) = -0.024 eV/atom

Unit cell a=6.229 b=6.229 c=7.613 alpha=90.00 beta=90.00 gamma=90.00
Space group I4/mmm (No. 139)
Asymmetric unit:
Sr  0.000  0.500  0.250 x4
Al  0.000  0.000  0.000 x2
Zn  0.000  0.000  0.342 x4


Entry 6:
The following is a DFT calculation (PBE) of an optimized crystal structure of Sr2Al5Zn2.

Total energy = -25.4 eV per cell
Volume = 196.34 Å³/f.u.
ΔH_f (0 K) = -0.090 eV/atom

Unit cell a=4.363 b=4.363 c=10.313 alpha=90.00 beta=90.00 gamma=90.00
Space group P4/mmm (No. 123)
Asymmetric unit:
Sr  0.000  0.000  0.000 x1
Sr  0.000  0.000  0.500 x1
Al  0.000  0.500  0.227 x4
Al  0.500  0.500  0.000 x1
Zn  0.500  0.500  0.377 x2


Entry 7:
The following is a DFT calculation (PBE) of an optimized crystal structure of Sr4AlZn2.

Total energy = -41.4 eV per cell
Volume = 242.37 Å³/f.u.
ΔH_f (0 K) = -0.113 eV/atom

Unit cell a=5.5394 b=5.5394 c=27.3620 alpha=90.00 beta=90.00 gamma=120.00
Space group R-3m (No. 166, hexagonal axes)
Asymmetric unit:
Sr  0.0000  0.0000  0.1242 x6
Sr  0.0000  0.0000  0.3751 x6
Al  0.0000  0.0000  0.0000 x3
Zn  0.0000  0.0000  0.2531 x6


Entry 8:
The following is a DFT calculation (PBE) of an optimized crystal structure of Sr2AlZn.

Total energy = -17.8 eV per cell
Volume = 118.49 Å³/f.u.
ΔH_f (0 K) = -0.129 eV/atom

Unit cell a=12.606 b=3.772 c=5.528 alpha=90.00 beta=115.64 gamma=90.00
Space group Cm (No. 8)
Asymmetric unit:
Sr  0.000  0.000  0.000 x2
Sr  0.196  0.000  0.694 x2
Al  0.422  0.000  0.423 x2
Zn  0.256  0.500  0.252 x2


Number 1: total magnetization 0.02 μB per atom. Number 2: total magnetization 0.00 μB per atom. Number 3: total magnetization 0.00 μB per atom. Number 4: total magnetization 0.00 μB per atom. Number 5: total magnetization 0.00 μB per atom. Number 6: total magnetization 0.00 μB per atom. Number 7: total magnetization 0.00 μB per atom. Number 8: total magnetization 0.00 μB per atom.